! BaGdFe4O7 (PBE with a Hubbard U, optimized geometry); values from VASP
! Mass density (g cm⁻³): 5.41
! Magnetization (μB/cell): 48.0
! Final energy (hartree per atom): -0.2792
! Crystal system: orthorhombic
&SYSTEM
  ibrav = 0, nat = 26, ntyp = 4
/
ATOMIC_SPECIES
O 16.00 O.upf
Fe 55.84 Fe.upf
Ba 137.33 Ba.upf
Gd 157.25 Gd.upf
ATOMIC_POSITIONS angstrom
O 3.084 0.200 8.179
O 1.168 2.949 7.583
O -1.410 2.750 2.863
O 1.932 2.515 2.267
O 1.322 4.746 0.018
O 4.938 0.810 5.363
O -0.295 1.895 0.018
O 0.017 5.264 2.863
O -3.465 5.577 2.593
O 4.510 2.715 8.179
O -1.838 4.654 0.048
O 3.395 3.569 5.334
O 1.778 0.719 5.334
O 6.565 -0.113 7.909
Fe 6.563 -0.112 4.696
Fe 0.073 1.969 1.915
Fe -1.784 4.624 2.002
Fe -3.463 5.576 10.011
Fe 3.027 3.495 7.231
Fe 4.884 0.840 7.318
Fe 1.448 4.391 1.915
Fe 1.653 1.073 7.231
Ba 3.486 1.634 10.610
Ba -0.386 3.831 5.294
Gd -0.258 3.758 9.263
Gd 3.358 1.706 3.947
CELL_PARAMETERS angstrom
6.582 -0.123 0.000
-3.482 5.587 0.000
0.000 0.000 10.631